Density functional theory data (PBE) for Y5Mo4 after structural relaxation.

a b c (Å): 8.8375 8.8375 6.1595
angles (deg): 90.00 90.00 120.00
Space group P6_3/mcm (No. 193)
Inequivalent atoms, fractional coordinates:
Y1 0.0000 0.3564 0.2500
Y2 0.3333 0.6667 0.0000
Mo1 0.0000 0.0000 0.0000
Mo2 0.0000 0.2538 0.7500

## Properties
The value obtained for the calculated volume is 23.1 Å³ per atom. The formation energy is 0.501 eV/atom.



Density functional theory data (PBE) for Y2Mo3 after structural relaxation.

a b c (Å): 9.949 15.163 5.903
angles (deg): 90.00 90.00 90.00
Space group Fdd2 (No. 43)
Inequivalent atoms, fractional coordinates:
Y1 0.082 0.301 0.000
Mo1 0.000 0.000 0.261
Mo2 0.084 0.375 0.504

## Properties
The value obtained for the calculated volume is 22.3 Å³ per atom. The formation energy is 0.272 eV/atom.



Density functional theory data (PBE) for Y2Mo3 after structural relaxation.

a b c (Å): 3.2309 3.2309 11.6533
angles (deg): 90.00 90.00 120.00
Space group P-3m1 (No. 164)
Inequivalent atoms, fractional coordinates:
Y1 0.3333 0.6667 0.2944
Mo1 0.0000 0.0000 0.5000
Mo2 0.3333 0.6667 0.9273

## Properties
The value obtained for the calculated volume is 21.1 Å³ per atom. The formation energy is 0.604 eV/atom.



Density functional theory data (PBE) for Y5Mo3 after structural relaxation.

a b c (Å): 7.748 10.247 4.791
angles (deg): 90.00 90.00 90.00
Space group Cmmm (No. 65)
Inequivalent atoms, fractional coordinates:
Y1 0.000 0.000 0.000
Y2 0.208 0.500 0.500
Y3 0.250 0.250 0.000
Mo1 0.000 0.212 0.500
Mo2 0.000 0.500 0.000

## Properties
The value obtained for the calculated volume is 23.8 Å³ per atom. The formation energy is 0.506 eV/atom.



Density functional theory data (PBE) for Y4Mo3 after structural relaxation.

a b c (Å): 3.364 3.364 29.950
angles (deg): 90.00 90.00 90.00
Space group I4/mmm (No. 139)
Inequivalent atoms, fractional coordinates:
Y1 0.000 0.000 0.060
Y2 0.000 0.000 0.337
Mo1 0.000 0.000 0.228
Mo2 0.000 0.000 0.500

## Properties
The value obtained for the calculated volume is 24.2 Å³ per atom. The formation energy is 0.229 eV/atom.



Density functional theory data (PBE) for Y3Mo2 after structural relaxation.

a b c (Å): 11.994 24.003 3.504
angles (deg): 90.00 90.00 90.00
Space group Fdd2 (No. 43)
Inequivalent atoms, fractional coordinates:
Y1 0.000 0.000 0.000
Y2 0.109 0.145 0.749
Mo1 0.040 0.280 0.736

## Properties
The value obtained for the calculated volume is 25.2 Å³ per atom. The formation energy is 0.222 eV/atom.